Record 1
Entry from Alexandria via LeMat-Bulk: a geometry-optimized Ba5C3 structure (PBE-GGA).

POSCAR file:
```
Ba5C3
1.0
8.250 0.000 0.000
-4.125 7.145 0.000
0.000 0.000 7.974
Ba C
10 6
direct
0.333 0.667 0.500 Ba
0.000 0.729 0.750 Ba
0.729 0.729 0.250 Ba
0.667 0.333 0.000 Ba
0.271 0.000 0.250 Ba
0.667 0.333 0.500 Ba
0.271 0.271 0.750 Ba
0.729 0.000 0.750 Ba
0.000 0.271 0.250 Ba
0.333 0.667 0.000 Ba
0.601 0.601 0.750 C
0.000 0.399 0.750 C
0.399 0.399 0.250 C
0.601 0.000 0.250 C
0.000 0.601 0.250 C
0.399 0.000 0.750 C
```

Symmetry: P6_3/mcm
Polymorph energy (0 for the lowest one), eV per formula unit: 0.000
Energy of formation from the pure elements, eV/atom: 0.863
Total magnetization, μB/f.u.: 1.98

***

Record 2
Entry from Alexandria via LeMat-Bulk: a geometry-optimized NdPd9Pb2 structure (PBE-GGA).

POSCAR file:
```
NdPd9Pb2
1.0
-0.624 3.493 -2.158
-3.573 -1.537 -1.455
-6.019 4.874 9.630
Pb Pd Nd
2 9 1
direct
0.000 0.000 0.664 Pb
0.000 0.000 0.336 Pb
0.500 0.500 0.337 Pd
0.000 0.500 0.827 Pd
0.500 0.000 0.173 Pd
0.500 0.500 0.663 Pd
0.000 0.500 0.173 Pd
0.500 0.500 0.000 Pd
0.500 0.000 0.500 Pd
0.500 0.000 0.827 Pd
0.000 0.500 0.500 Pd
0.000 0.000 0.000 Nd
```

Symmetry: P4/mmm
Energy of formation from the pure elements, eV/atom: -0.445
Total magnetization, μB/f.u.: 0.00

***

Record 3
Entry from Alexandria via LeMat-Bulk: a geometry-optimized KYGa2 structure (PBE-GGA).

POSCAR file:
```
KYGa2
1.0
0.000 3.744 3.744
3.744 0.000 3.744
3.744 3.744 0.000
K Ga Y
1 2 1
direct
0.000 0.000 0.000 K
0.750 0.750 0.750 Ga
0.250 0.250 0.250 Ga
0.500 0.500 0.500 Y
```

Symmetry: Fm-3m
Polymorph energy (0 for the lowest one), eV per formula unit: 0.000
Energy of formation from the pure elements, eV/atom: -0.042
Total magnetization, μB/f.u.: 0.00

***

Record 4
Entry from Alexandria via LeMat-Bulk: a geometry-optimized ZrAl2Hg structure (PBE-GGA).

POSCAR file:
```
ZrAl2Hg
1.0
-0.605 3.071 -0.156
-1.578 -0.447 -2.671
-6.754 -1.118 4.178
Zr Hg Al
1 1 2
direct
0.500 0.500 0.750 Zr
0.500 0.500 0.250 Hg
0.000 0.000 0.507 Al
0.000 0.000 0.993 Al
```

Symmetry: P4/mmm
Energy of formation from the pure elements, eV/atom: -0.093
Total magnetization, μB/f.u.: 0.00

***

Record 5
Entry from Alexandria via LeMat-Bulk: a geometry-optimized YTh2Zn structure (PBE-GGA).

POSCAR file:
```
YTh2Zn
1.0
3.400 0.000 0.000
1.700 2.944 0.000
1.700 0.981 11.791
Zn Th Y
1 2 1
direct
0.500 0.500 0.500 Zn
0.904 0.904 0.288 Th
0.096 0.096 0.712 Th
0.000 0.000 0.000 Y
```

Symmetry: R-3m
Polymorph energy (0 for the lowest one), eV per formula unit: 0.934
Energy of formation from the pure elements, eV/atom: 0.223
Total magnetization, μB/f.u.: 0.00

***

Record 6
Entry from Alexandria via LeMat-Bulk: a geometry-optimized K2Tl3Hg structure (PBE-GGA).

POSCAR file:
```
K2Tl3Hg
1.0
4.895 0.000 2.050
2.231 6.135 1.543
-0.037 -0.230 6.959
Tl Hg K
3 1 2
direct
0.834 0.236 0.095 Tl
0.842 0.596 0.721 Tl
0.164 0.768 0.905 Tl
0.158 0.400 0.284 Hg
0.562 0.192 0.684 K
0.441 0.808 0.311 K
```

Symmetry: Cm
Energy of formation from the pure elements, eV/atom: -0.165
Total magnetization, μB/f.u.: 0.00